# Nd2CoO4, optimized geometry, DFT GGA+U
data_Nd2CoO4
_space_group_name_H-M_alt 'I 4/m m m'
_space_group_IT_number 139
_space_group_name_Hall '-I 4 2'
_cell_length_a 3.768
_cell_length_b 3.768
_cell_length_c 12.692
_cell_angle_alpha 90.00
_cell_angle_beta 90.00
_cell_angle_gamma 90.00
loop_
_atom_site_label
_atom_site_fract_x
_atom_site_fract_y
_atom_site_fract_z
Nd1 0.000 0.000 0.137
Co1 0.000 0.000 0.500
O1 0.000 0.000 0.320
O2 0.000 0.500 0.000
# - density of states at the Fermi level (states/eV per cell) = 1.42
# - DFT total energy (eV for the cell shown) = -104.63
# - polymorph energy (0 for the lowest one) (meV/atom) = 96
# - mass density (g/cm³) = 7.58